(1)
Material: ZrSeBr2
Method: DFT, GGA-PBE
State: optimized geometry

## Properties
- density of states at the Fermi level (states/eV/cell) = 1.35
- VASP energy (eV per cell) = -16.534
- symmetry = I4/mmm, No. 139
- relative energy among the computed polymorphs (meV/atom) = 944
- E_form (uncorrected) (meV per atom) = -289

abc: 5.2999 5.2999 5.2999
angles: 129.17 129.17 74.73
With the nearest neighbours (Å) after each atom.
Atoms (fractional coordinates):
Br: 0.0000 0.0000 0.0000  4 Se 3.10, 4 Zr 3.10, 4 Br 3.22
Br: 0.5000 0.5000 0.0000  4 Zr 3.10, 4 Se 3.10, 4 Br 3.22
Se: 0.2500 0.7500 0.5000  8 Br 3.10, 4 Zr 3.22
Zr: 0.7500 0.2500 0.5000  8 Br 3.10, 4 Se 3.22

(2)
Material: ZrSeBr2
Method: DFT, GGA-PBE
State: optimized geometry

## Properties
- density of states at the Fermi level (states/eV/cell) = 3.15
- VASP energy (eV per cell) = -15.910
- symmetry = Pmmm, No. 47
- relative energy among the computed polymorphs (meV/atom) = 1100
- E_form (uncorrected) (meV per atom) = -133

abc: 3.5338 5.2459 4.8363
angles: 90.00 90.00 90.00
With the nearest neighbours (Å) after each atom.
Atoms (fractional coordinates):
Br: 0.0000 0.0000 0.0000  4 Se 2.99, 4 Br 3.16
Br: 0.5000 0.5000 0.0000  4 Zr 2.99, 4 Br 3.16
Se: 0.5000 0.0000 0.5000  4 Br 2.99, 4 Zr 3.16
Zr: 0.0000 0.5000 0.5000  4 Br 2.99, 4 Se 3.16